Li3Bi2B3O9 after structural relaxation, computed with PBE-GGA.

Results
The calculation puts the energy relative to the elements, uncorrected at -2.02 eV/atom. The density is 5463 kg/m3. The value obtained for the electronic total energy is -6.615 eV per atom.

abc: 5.991 13.952 9.781
angles: 90.00 113.80 90.00
Fractional positions:
Li (0.018, 0.127, 0.217)
Li (0.018, 0.373, 0.717)
Li (0.433, 0.664, 0.519)
Li (0.433, 0.836, 0.019)
Li (0.454, 0.213, 0.212)
Li (0.454, 0.287, 0.712)
Li (0.546, 0.713, 0.288)
Li (0.546, 0.787, 0.788)
Li (0.567, 0.164, 0.981)
Li (0.567, 0.336, 0.481)
Li (0.982, 0.627, 0.283)
Li (0.982, 0.873, 0.783)
Bi (0.024, 0.652, 0.664)
Bi (0.024, 0.848, 0.164)
Bi (0.340, 0.013, 0.634)
Bi (0.340, 0.487, 0.134)
Bi (0.660, 0.513, 0.866)
Bi (0.660, 0.987, 0.366)
Bi (0.976, 0.152, 0.836)
Bi (0.976, 0.348, 0.336)
B (0.109, 0.683, 0.010)
B (0.109, 0.817, 0.510)
B (0.275, 0.016, 0.028)
B (0.275, 0.484, 0.528)
B (0.377, 0.164, 0.457)
B (0.377, 0.336, 0.957)
B (0.623, 0.664, 0.043)
B (0.623, 0.836, 0.543)
B (0.725, 0.516, 0.472)
B (0.725, 0.984, 0.972)
B (0.891, 0.183, 0.490)
B (0.891, 0.317, 0.990)
O (0.037, 0.604, 0.913)
O (0.037, 0.896, 0.413)
O (0.104, 0.725, 0.457)
O (0.104, 0.775, 0.957)
O (0.124, 0.505, 0.381)
O (0.124, 0.995, 0.881)
O (0.192, 0.667, 0.163)
O (0.192, 0.833, 0.663)
O (0.318, 0.241, 0.360)
O (0.318, 0.259, 0.860)
O (0.325, 0.112, 0.063)
O (0.325, 0.388, 0.563)
O (0.334, 0.070, 0.397)
O (0.334, 0.430, 0.897)
O (0.368, 0.557, 0.632)
O (0.368, 0.943, 0.132)
O (0.464, 0.169, 0.610)
O (0.464, 0.331, 0.110)
O (0.536, 0.669, 0.890)
O (0.536, 0.831, 0.390)
O (0.632, 0.057, 0.868)
O (0.632, 0.443, 0.368)
O (0.666, 0.570, 0.103)
O (0.666, 0.930, 0.603)
O (0.675, 0.612, 0.437)
O (0.675, 0.888, 0.937)
O (0.682, 0.741, 0.140)
O (0.682, 0.759, 0.640)
O (0.808, 0.167, 0.337)
O (0.808, 0.333, 0.837)
O (0.876, 0.005, 0.119)
O (0.876, 0.495, 0.619)
O (0.896, 0.225, 0.043)
O (0.896, 0.275, 0.543)
O (0.963, 0.104, 0.587)
O (0.963, 0.396, 0.087)

***

Li5Bi2B4O12 after structural relaxation, computed with PBE-GGA.

Results
The calculation puts the energy relative to the elements, uncorrected at -2.04 eV/atom. The density is 4263 kg/m3. The value obtained for the electronic total energy is -6.538 eV per atom.

abc: 8.899 6.475 10.455
angles: 90.00 117.17 90.00
Fractional positions:
Li (0.000, 0.021, 0.000)
Li (0.000, 0.979, 0.500)
Li (0.208, 0.478, 0.968)
Li (0.208, 0.522, 0.468)
Li (0.317, 0.174, 0.153)
Li (0.317, 0.826, 0.653)
Li (0.458, 0.034, 0.533)
Li (0.458, 0.966, 0.033)
Li (0.782, 0.478, 0.442)
Li (0.782, 0.522, 0.942)
Bi (0.424, 0.287, 0.785)
Bi (0.424, 0.713, 0.285)
Bi (0.813, 0.232, 0.195)
Bi (0.813, 0.768, 0.695)
B (0.078, 0.404, 0.172)
B (0.078, 0.596, 0.672)
B (0.154, 0.080, 0.812)
B (0.154, 0.920, 0.312)
B (0.554, 0.433, 0.598)
B (0.554, 0.567, 0.098)
B (0.661, 0.068, 0.376)
B (0.661, 0.932, 0.876)
O (0.010, 0.012, 0.814)
O (0.010, 0.988, 0.314)
O (0.040, 0.447, 0.284)
O (0.040, 0.553, 0.784)
O (0.192, 0.052, 0.697)
O (0.192, 0.948, 0.197)
O (0.229, 0.447, 0.170)
O (0.229, 0.553, 0.670)
O (0.276, 0.182, 0.934)
O (0.276, 0.818, 0.434)
O (0.405, 0.321, 0.546)
O (0.405, 0.679, 0.046)
O (0.545, 0.051, 0.232)
O (0.545, 0.949, 0.732)
O (0.609, 0.474, 0.008)
O (0.609, 0.526, 0.508)
O (0.625, 0.040, 0.974)
O (0.625, 0.960, 0.474)
O (0.646, 0.461, 0.744)
O (0.646, 0.539, 0.244)
O (0.810, 0.178, 0.421)
O (0.810, 0.822, 0.921)
O (0.951, 0.303, 0.054)
O (0.951, 0.697, 0.554)

***

LiBiB2O5 after structural relaxation, computed with PBE-GGA.

Results
The calculation puts the energy above the most stable polymorph in this dataset at 0.022 eV/atom. The calculation puts the energy relative to the elements, uncorrected at -2.05 eV/atom. The density is 4830 kg/m3. The value obtained for the electronic total energy is -6.929 eV per atom.

abc: 5.542 5.542 3.835
angles: 92.30 92.30 111.69
Fractional positions:
Li (0.000, 0.000, 0.000)
Bi (0.346, 0.654, 0.500)
B (0.530, 0.104, 0.101)
B (0.896, 0.470, 0.899)
O (0.086, 0.382, 0.015)
O (0.324, 0.031, 0.314)
O (0.618, 0.914, 0.985)
O (0.640, 0.360, 0.000)
O (0.969, 0.676, 0.686)

***

LiBiB2O5 after structural relaxation, computed with PBE-GGA.

Results
The calculation puts the energy above the most stable polymorph in this dataset at 0.067 eV/atom. The calculation puts the energy relative to the elements, uncorrected at -2.00 eV/atom. The density is 5898 kg/m3. The value obtained for the electronic total energy is -6.884 eV per atom.

abc: 5.384 4.400 7.582
angles: 90.00 95.56 90.00
Fractional positions:
Li (0.159, 0.000, 0.110)
Li (0.841, 0.500, 0.890)
Bi (0.134, 0.973, 0.704)
Bi (0.866, 0.473, 0.296)
B (0.389, 0.532, 0.934)
B (0.431, 0.975, 0.407)
B (0.569, 0.475, 0.593)
B (0.611, 0.032, 0.066)
O (0.153, 0.658, 0.959)
O (0.155, 0.000, 0.371)
O (0.401, 0.197, 0.961)
O (0.421, 0.594, 0.735)
O (0.495, 0.643, 0.426)
O (0.505, 0.143, 0.574)
O (0.579, 0.094, 0.265)
O (0.599, 0.697, 0.039)
O (0.845, 0.500, 0.629)
O (0.847, 0.158, 0.041)

***

LiBi4B3O11 after structural relaxation, computed with PBE-GGA.

Results
The calculation puts the energy relative to the elements, uncorrected at -1.76 eV/atom. The density is 6569 kg/m3. The value obtained for the electronic total energy is -6.602 eV per atom.

abc: 6.516 6.516 12.698
angles: 96.80 96.80 90.51
Fractional positions:
Li (0.089, 0.911, 0.750)
Li (0.911, 0.089, 0.250)
Bi (0.058, 0.419, 0.828)
Bi (0.189, 0.585, 0.421)
Bi (0.415, 0.811, 0.079)
Bi (0.419, 0.058, 0.328)
Bi (0.581, 0.942, 0.672)
Bi (0.585, 0.189, 0.921)
Bi (0.811, 0.415, 0.579)
Bi (0.942, 0.581, 0.172)
B (0.159, 0.159, 0.078)
B (0.159, 0.159, 0.578)
B (0.484, 0.516, 0.250)
B (0.516, 0.484, 0.750)
B (0.841, 0.841, 0.422)
B (0.841, 0.841, 0.922)
O (0.007, 0.392, 0.297)
O (0.025, 0.316, 0.059)
O (0.029, 0.153, 0.657)
O (0.110, 0.311, 0.510)
O (0.153, 0.029, 0.157)
O (0.311, 0.110, 0.010)
O (0.316, 0.025, 0.559)
O (0.332, 0.668, 0.250)
O (0.392, 0.007, 0.797)
O (0.396, 0.497, 0.834)
O (0.497, 0.396, 0.334)
O (0.503, 0.604, 0.666)
O (0.604, 0.503, 0.166)
O (0.608, 0.993, 0.203)
O (0.668, 0.332, 0.750)
O (0.684, 0.975, 0.441)
O (0.689, 0.890, 0.990)
O (0.847, 0.971, 0.843)
O (0.890, 0.689, 0.490)
O (0.971, 0.847, 0.343)
O (0.975, 0.684, 0.941)
O (0.993, 0.608, 0.703)

***

Li3BiB2O6 after structural relaxation, computed with PBE-GGA.

Results
The calculation puts the energy above the most stable polymorph in this dataset at 0.038 eV/atom. The calculation puts the energy relative to the elements, uncorrected at -2.08 eV/atom. The density is 4063 kg/m3. The value obtained for the electronic total energy is -6.472 eV per atom.

abc: 4.987 7.401 8.380
angles: 67.04 86.16 86.69
Fractional positions:
Li (0.193, 0.072, 0.072)
Li (0.297, 0.952, 0.730)
Li (0.307, 0.242, 0.359)
Li (0.693, 0.758, 0.641)
Li (0.703, 0.048, 0.270)
Li (0.807, 0.928, 0.928)
Bi (0.205, 0.442, 0.685)
Bi (0.795, 0.558, 0.315)
B (0.182, 0.863, 0.437)
B (0.324, 0.695, 0.086)
B (0.676, 0.305, 0.914)
B (0.818, 0.137, 0.563)
O (0.075, 0.195, 0.577)
O (0.180, 0.849, 0.979)
O (0.210, 0.533, 0.226)
O (0.301, 0.762, 0.601)
O (0.314, 0.005, 0.305)
O (0.393, 0.310, 0.930)
O (0.607, 0.690, 0.070)
O (0.686, 0.995, 0.695)
O (0.699, 0.238, 0.399)
O (0.790, 0.467, 0.774)
O (0.820, 0.151, 0.021)
O (0.925, 0.805, 0.423)

***

Li2BiBO4 after structural relaxation, computed with PBE-GGA.

Results
The calculation puts the energy above the most stable polymorph in this dataset at 0.000 eV/atom. The calculation puts the energy relative to the elements, uncorrected at -1.92 eV/atom. The density is 4936 kg/m3. The value obtained for the electronic total energy is -6.199 eV per atom.

abc: 7.275 4.877 11.293
angles: 90.00 90.88 90.00
Fractional positions:
Li (0.101, 0.203, 0.213)
Li (0.101, 0.297, 0.713)
Li (0.190, 0.221, 0.938)
Li (0.190, 0.279, 0.438)
Li (0.810, 0.721, 0.562)
Li (0.810, 0.779, 0.062)
Li (0.899, 0.703, 0.287)
Li (0.899, 0.797, 0.787)
Bi (0.493, 0.237, 0.634)
Bi (0.493, 0.263, 0.134)
Bi (0.507, 0.737, 0.866)
Bi (0.507, 0.763, 0.366)
B (0.185, 0.747, 0.093)
B (0.185, 0.753, 0.593)
B (0.815, 0.247, 0.407)
B (0.815, 0.253, 0.907)
O (0.036, 0.664, 0.654)
O (0.036, 0.836, 0.154)
O (0.222, 0.039, 0.587)
O (0.222, 0.461, 0.087)
O (0.301, 0.575, 0.535)
O (0.301, 0.925, 0.035)
O (0.370, 0.176, 0.305)
O (0.370, 0.324, 0.805)
O (0.630, 0.676, 0.195)
O (0.630, 0.824, 0.695)
O (0.699, 0.075, 0.965)
O (0.699, 0.425, 0.465)
O (0.778, 0.539, 0.913)
O (0.778, 0.961, 0.413)
O (0.964, 0.164, 0.846)
O (0.964, 0.336, 0.346)

***

Li6BiB3O9 after structural relaxation, computed with PBE-GGA.

Results
The calculation puts the energy relative to the elements, uncorrected at -2.16 eV/atom. The density is 3503 kg/m3. The value obtained for the electronic total energy is -6.370 eV per atom.

abc: 7.372 16.832 6.770
angles: 90.00 105.45 90.00
Fractional positions:
Li (0.046, 0.030, 0.169)
Li (0.046, 0.470, 0.669)
Li (0.060, 0.704, 0.053)
Li (0.060, 0.796, 0.553)
Li (0.191, 0.535, 0.057)
Li (0.191, 0.965, 0.557)
Li (0.219, 0.207, 0.861)
Li (0.219, 0.293, 0.361)
Li (0.359, 0.052, 0.918)
Li (0.359, 0.448, 0.418)
Li (0.429, 0.003, 0.323)
Li (0.429, 0.497, 0.823)
Li (0.571, 0.503, 0.177)
Li (0.571, 0.997, 0.677)
Li (0.641, 0.552, 0.582)
Li (0.641, 0.948, 0.082)
Li (0.781, 0.707, 0.639)
Li (0.781, 0.793, 0.139)
Li (0.809, 0.035, 0.443)
Li (0.809, 0.465, 0.943)
Li (0.940, 0.204, 0.447)
Li (0.940, 0.296, 0.947)
Li (0.954, 0.530, 0.331)
Li (0.954, 0.970, 0.831)
Bi (0.418, 0.686, 0.849)
Bi (0.418, 0.814, 0.349)
Bi (0.582, 0.186, 0.651)
Bi (0.582, 0.314, 0.151)
B (0.055, 0.613, 0.687)
B (0.055, 0.887, 0.187)
B (0.212, 0.119, 0.495)
B (0.212, 0.381, 0.995)
B (0.417, 0.633, 0.344)
B (0.417, 0.867, 0.844)
B (0.583, 0.133, 0.156)
B (0.583, 0.367, 0.656)
B (0.788, 0.619, 0.005)
B (0.788, 0.881, 0.505)
B (0.945, 0.113, 0.813)
B (0.945, 0.387, 0.313)
O (0.037, 0.086, 0.412)
O (0.037, 0.414, 0.912)
O (0.066, 0.694, 0.722)
O (0.066, 0.806, 0.222)
O (0.104, 0.074, 0.922)
O (0.104, 0.426, 0.422)
O (0.219, 0.568, 0.771)
O (0.219, 0.932, 0.271)
O (0.235, 0.199, 0.547)
O (0.235, 0.301, 0.047)
O (0.342, 0.684, 0.180)
O (0.342, 0.816, 0.680)
O (0.375, 0.072, 0.535)
O (0.375, 0.428, 0.035)
O (0.413, 0.552, 0.322)
O (0.413, 0.948, 0.822)
O (0.493, 0.167, 0.965)
O (0.493, 0.333, 0.465)
O (0.507, 0.667, 0.535)
O (0.507, 0.833, 0.035)
O (0.587, 0.052, 0.178)
O (0.587, 0.448, 0.678)
O (0.625, 0.572, 0.965)
O (0.625, 0.928, 0.465)
O (0.658, 0.184, 0.320)
O (0.658, 0.316, 0.820)
O (0.765, 0.699, 0.953)
O (0.765, 0.801, 0.453)
O (0.781, 0.068, 0.729)
O (0.781, 0.432, 0.229)
O (0.896, 0.574, 0.578)
O (0.896, 0.926, 0.078)
O (0.934, 0.194, 0.778)
O (0.934, 0.306, 0.278)
O (0.963, 0.586, 0.088)
O (0.963, 0.914, 0.588)